Entry from Alexandria via LeMat-Bulk: a geometry-optimized NaSb4 structure (PBE).

abc: 5.3777 5.3777 5.3777
angles: 90.00 90.00 90.00
Last column: nearest neighbours and their distance in Å.
Sites, in units of the cell vectors:
Na (0.0000, 0.0000, 0.0000)  6 Sb 2.69
Sb (0.0000, 0.0000, 0.5000)  2 Na 2.69
Sb (0.0000, 0.5000, 0.0000)  2 Na 2.69
Sb (0.5000, 0.0000, 0.0000)  2 Na 2.69
Sb (0.5000, 0.5000, 0.5000)  12 Sb 3.80

Total magnetic moment   0.000 μB per atom
Crystal system   cubic

=====

Entry from Alexandria via LeMat-Bulk: a geometry-optimized NaSb structure (PBE).

abc: 5.0895 4.1746 6.3740
angles: 90.00 113.61 90.00
Last column: nearest neighbours and their distance in Å.
Sites, in units of the cell vectors:
Na (0.1311, 0.2500, 0.2619)  7 Sb 3.29-3.60
Na (0.8689, 0.7500, 0.7381)  7 Sb 3.29-3.60
Sb (0.4124, 0.2500, 0.8259)  2 Sb 2.91
Sb (0.5876, 0.7500, 0.1741)  2 Sb 2.91

Total magnetic moment   0.000 μB per atom
Crystal system   monoclinic

=====

Entry from Alexandria via LeMat-Bulk: a geometry-optimized NaSb structure (PBE).

abc: 6.5469 6.5469 6.3100
angles: 90.00 90.00 90.00
Last column: nearest neighbours and their distance in Å.
Sites, in units of the cell vectors:
Na (0.1872, 0.1872, 0.0000)  4 Sb 3.17-3.21, 1 Na 3.47
Na (0.3128, 0.6872, 0.5000)  4 Sb 3.17-3.21, 1 Na 3.47
Na (0.6872, 0.3128, 0.5000)  4 Sb 3.17-3.21, 1 Na 3.47
Na (0.8128, 0.8128, 0.0000)  4 Sb 3.17-3.21, 1 Na 3.47
Sb (0.1488, 0.1488, 0.5000)  1 Sb 2.75
Sb (0.3512, 0.6488, 0.0000)  1 Sb 2.75
Sb (0.6488, 0.3512, 0.0000)  1 Sb 2.75
Sb (0.8512, 0.8512, 0.5000)  1 Sb 2.75

Total magnetic moment   0.063 μB per atom
Crystal system   tetragonal

=====

Entry from Alexandria via LeMat-Bulk: a geometry-optimized Na5Sb4 structure (PBE).

abc: 6.1333 6.1333 10.6005
angles: 107.96 107.96 47.78
Last column: nearest neighbours and their distance in Å.
Sites, in units of the cell vectors:
Na (0.0000, 0.0000, 0.0000)  4 Sb 3.14
Na (0.0872, 0.0872, 0.3779)  7 Sb 3.25-3.43
Na (0.2463, 0.2463, 0.8431)  6 Sb 3.35-3.47, 4 Na 3.67-3.72
Na (0.7537, 0.7537, 0.1569)  6 Sb 3.35-3.47, 4 Na 3.67-3.72
Na (0.9128, 0.9128, 0.6221)  7 Sb 3.25-3.43
Sb (0.3812, 0.3812, 0.3921)  2 Sb 2.85-2.87
Sb (0.4552, 0.4552, 0.1600)  1 Sb 2.85, 2 Na 3.14
Sb (0.5448, 0.5448, 0.8400)  1 Sb 2.85, 2 Na 3.14
Sb (0.6188, 0.6188, 0.6079)  2 Sb 2.85-2.87

Total magnetic moment   0.000 μB per atom
Crystal system   monoclinic

=====

Entry from Alexandria via LeMat-Bulk: a geometry-optimized NaSb structure (PBE).

abc: 5.3835 5.3835 6.0237
angles: 90.00 90.00 120.00
Last column: nearest neighbours and their distance in Å.
Sites, in units of the cell vectors:
Na (0.3333, 0.6667, 0.2500)  5 Sb 3.01-3.11
Na (0.6667, 0.3333, 0.7500)  5 Sb 3.01-3.11
Sb (0.3333, 0.6667, 0.7500)  5 Na 3.01-3.11
Sb (0.6667, 0.3333, 0.2500)  5 Na 3.01-3.11

Total magnetic moment   0.000 μB per atom
Crystal system   hexagonal

=====

Entry from Alexandria via LeMat-Bulk: a geometry-optimized NaSc3Sb structure (PBE).

abc: 5.0758 5.0758 5.0758
angles: 90.00 90.00 90.00
Last column: nearest neighbours and their distance in Å.
Sites, in units of the cell vectors:
Na (0.0000, 0.0000, 0.0000)  6 Sc 2.54
Sc (0.0000, 0.0000, 0.5000)  2 Na 2.54
Sc (0.0000, 0.5000, 0.0000)  2 Na 2.54
Sc (0.5000, 0.0000, 0.0000)  2 Na 2.54
Sb (0.5000, 0.5000, 0.5000)  12 Sc 3.59

Total magnetic moment   0.042 μB per atom
Polymorph energy (0 for the lowest one)   496 meV per atom
Crystal system   cubic

=====

Number 1: density 5.446 Mg/m³, ΔE_f (raw) 0.8314 eV per atom. Number 2: density 3.874 Mg/m³, ΔE_f (raw) -0.2865 eV per atom. Number 3: density 3.555 Mg/m³, ΔE_f (raw) -0.0504 eV per atom. Number 4: density 3.596 Mg/m³, ΔE_f (raw) -0.3397 eV per atom. Number 5: density 3.180 Mg/m³, ΔE_f (raw) 0.3077 eV per atom. Number 6: density 3.551 Mg/m³, ΔE_f (raw) 0.7201 eV per atom.